No. 1
A plane-wave DFT calculation with PBE-GGA was carried out for ErNiB4 after structural relaxation.

## Properties
Total magnetic moment: 0.001 Bohr magnetons per cell
DFT total energy: -0.247 hartree per atom

a b c (Å): 6.7897 6.7897 6.7897
angles (deg): 102.69 112.96 112.96
Closest atoms and distances in Å follow each position.
Fractional positions:
B (0.1643, 0.2754, 0.8889)  4 B 1.67-1.75
B (0.0000, 0.4199, 0.8862)  3 B 1.68-1.75
B (0.8357, 0.7246, 0.1111)  4 B 1.67-1.75
B (0.4663, 0.8862, 0.8862)  3 B 1.68-1.75
B (0.3864, 0.2754, 0.1111)  4 B 1.67-1.75
B (0.1643, 0.8889, 0.2754)  4 B 1.67-1.75
B (0.6136, 0.8889, 0.7246)  4 B 1.67-1.75
B (0.0000, 0.1138, 0.5801)  3 B 1.68-1.75
B (0.6136, 0.7246, 0.8889)  4 B 1.67-1.75
B (0.4663, 0.5801, 0.5801)  3 B 1.68-1.75
B (0.0000, 0.8862, 0.4199)  3 B 1.68-1.75
B (0.3864, 0.1111, 0.2754)  4 B 1.67-1.75
B (0.5337, 0.1138, 0.1138)  3 B 1.68-1.75
B (0.5337, 0.4199, 0.4199)  3 B 1.68-1.75
B (0.8357, 0.1111, 0.7246)  4 B 1.67-1.75
B (0.0000, 0.5801, 0.1138)  3 B 1.68-1.75
Ni (0.7707, 0.5000, 0.2707)  6 B 2.07-2.18
Ni (0.2293, 0.5000, 0.7293)  6 B 2.07-2.18
Ni (0.7707, 0.2707, 0.5000)  6 B 2.07-2.18
Ni (0.2293, 0.7293, 0.5000)  6 B 2.07-2.18
Er (0.5000, 0.2500, 0.7500)  16 B 2.78-2.83, 4 Ni 2.94
Er (0.5000, 0.7500, 0.2500)  16 B 2.78-2.83, 4 Ni 2.94
Er (0.0000, 0.2028, 0.2028)  16 B 2.76-2.86, 4 Ni 3.05
Er (0.0000, 0.7972, 0.7972)  16 B 2.76-2.86, 4 Ni 3.05

=====

No. 2
A plane-wave DFT calculation with PBE-GGA was carried out for ErNiB4 after structural relaxation.

## Properties
Total magnetic moment: 0.004 Bohr magnetons per cell
DFT total energy: -0.233 hartree per atom

a b c (Å): 4.7549 4.7549 4.7549
angles (deg): 141.52 112.78 80.21
Closest atoms and distances in Å follow each position.
Fractional positions:
Ni (0.5000, 0.5000, 0.0000)  12 B 2.48-2.59
B (0.0724, 0.7451, 0.3273)  3 B 1.77-1.82
B (0.4178, 0.7451, 0.6727)  3 B 1.77-1.82
B (0.9276, 0.2549, 0.6727)  3 B 1.77-1.82
B (0.5822, 0.2549, 0.3273)  3 B 1.77-1.82
Er (0.0000, 0.0000, 0.0000)  12 B 2.53-2.54

=====

No. 3
A plane-wave DFT calculation with PBE-GGA was carried out for ErNiB after structural relaxation.

## Properties
Total magnetic moment: 0.023 Bohr magnetons per cell
DFT total energy: -0.205 hartree per atom

a b c (Å): 4.0183 4.0183 4.0183
angles (deg): 60.00 60.00 60.00
Closest atoms and distances in Å follow each position.
Fractional positions:
B (0.0000, 0.0000, 0.0000)  4 Ni 2.46, 4 Er 2.46
Ni (0.7500, 0.7500, 0.7500)  4 B 2.46
Er (0.2500, 0.2500, 0.2500)  4 B 2.46

=====

No. 4
A plane-wave DFT calculation with PBE-GGA was carried out for ErNiB after structural relaxation.

## Properties
Total magnetic moment: 0.002 Bohr magnetons per cell
DFT total energy: -0.175 hartree per atom

a b c (Å): 4.2260 4.2260 4.2260
angles (deg): 60.00 60.00 60.00
Closest atoms and distances in Å follow each position.
Fractional positions:
Ni (0.7500, 0.7500, 0.7500)  4 Er 2.59
Er (0.0000, 0.0000, 0.0000)  4 B 2.59, 4 Ni 2.59
B (0.2500, 0.2500, 0.2500)  4 Er 2.59

=====

No. 5
A plane-wave DFT calculation with PBE-GGA was carried out for PrErNi8B2 after structural relaxation.

## Properties
Total magnetic moment: 0.004 Bohr magnetons per cell
DFT total energy: -0.222 hartree per atom

a b c (Å): 5.0346 5.0346 6.9798
angles (deg): 90.00 90.00 120.00
Closest atoms and distances in Å follow each position.
Fractional positions:
Er (0.0000, 0.0000, 0.0000)  18 Ni 2.91-3.23
Ni (0.5000, 0.0000, 0.2902)  2 B 2.06
Ni (0.5000, 0.5000, 0.7098)  2 B 2.06
Ni (0.6667, 0.3333, 0.0000)  6 Ni 2.49
Ni (0.5000, 0.5000, 0.2902)  2 B 2.06
Ni (0.0000, 0.5000, 0.2902)  2 B 2.06
Ni (0.5000, 0.0000, 0.7098)  2 B 2.06
Ni (0.3333, 0.6667, 0.0000)  6 Ni 2.49
Ni (0.0000, 0.5000, 0.7098)  2 B 2.06
B (0.6667, 0.3333, 0.5000)  6 Ni 2.06
B (0.3333, 0.6667, 0.5000)  6 Ni 2.06
Pr (0.0000, 0.0000, 0.5000)  6 B 2.91, 12 Ni 2.91

=====

No. 6
A plane-wave DFT calculation with PBE-GGA was carried out for PrErNi8B2 after structural relaxation.

## Properties
Total magnetic moment: 0.005 Bohr magnetons per cell
DFT total energy: -0.223 hartree per atom

a b c (Å): 5.0310 5.0310 7.0054
angles (deg): 90.00 90.00 120.00
Closest atoms and distances in Å follow each position.
Fractional positions:
Ni (0.5000, 0.5000, 0.7034)  2 B 2.03
Ni (0.5000, 0.0000, 0.7034)  2 B 2.03
Ni (0.5000, 0.0000, 0.2966)  2 B 2.03
Ni (0.0000, 0.5000, 0.7034)  2 B 2.03
Ni (0.6667, 0.3333, 0.0000)  6 Ni 2.54
Ni (0.5000, 0.5000, 0.2966)  2 B 2.03
Ni (0.0000, 0.5000, 0.2966)  2 B 2.03
Ni (0.3333, 0.6667, 0.0000)  6 Ni 2.54
Er (0.0000, 0.0000, 0.5000)  12 Ni 2.89, 6 B 2.90
Pr (0.0000, 0.0000, 0.0000)  6 Ni 2.90
B (0.3333, 0.6667, 0.5000)  6 Ni 2.03
B (0.6667, 0.3333, 0.5000)  6 Ni 2.03

=====

No. 7
A plane-wave DFT calculation with PBE-GGA was carried out for SmErNi8B2 after structural relaxation.

## Properties
Total magnetic moment: 0.004 Bohr magnetons per cell
DFT total energy: -0.224 hartree per atom

a b c (Å): 4.9933 4.9933 6.9825
angles (deg): 90.00 90.00 120.00
Closest atoms and distances in Å follow each position.
Fractional positions:
B (0.3333, 0.6667, 0.5000)  6 Ni 2.04
B (0.6667, 0.3333, 0.5000)  6 Ni 2.04
Ni (0.0000, 0.5000, 0.7058)  2 B 2.04
Ni (0.5000, 0.0000, 0.2942)  2 B 2.04
Ni (0.3333, 0.6667, 0.0000)  6 Ni 2.51
Ni (0.5000, 0.5000, 0.7058)  2 B 2.04
Ni (0.6667, 0.3333, 0.0000)  6 Ni 2.51
Ni (0.0000, 0.5000, 0.2942)  2 B 2.04
Ni (0.5000, 0.5000, 0.2942)  2 B 2.04
Ni (0.5000, 0.0000, 0.7058)  2 B 2.04
Sm (0.0000, 0.0000, 0.0000)  6 Ni 2.88
Er (0.0000, 0.0000, 0.5000)  12 Ni 2.88, 6 B 2.88

=====

No. 8
A plane-wave DFT calculation with PBE-GGA was carried out for SmErNi8B2 after structural relaxation.

## Properties
Total magnetic moment: 0.001 Bohr magnetons per cell
DFT total energy: -0.223 hartree per atom

a b c (Å): 5.0039 5.0039 6.9686
angles (deg): 90.00 90.00 120.00
Closest atoms and distances in Å follow each position.
Fractional positions:
Ni (0.3333, 0.6667, 0.0000)  6 Ni 2.49
Ni (0.0000, 0.5000, 0.7094)  2 B 2.05
Ni (0.0000, 0.5000, 0.2906)  2 B 2.05
Ni (0.5000, 0.0000, 0.7094)  2 B 2.05
Ni (0.5000, 0.0000, 0.2906)  2 B 2.05
Ni (0.5000, 0.5000, 0.2906)  2 B 2.05
Ni (0.6667, 0.3333, 0.0000)  6 Ni 2.49
Ni (0.5000, 0.5000, 0.7094)  2 B 2.05
Er (0.0000, 0.0000, 0.0000)  18 Ni 2.89-3.22
Sm (0.0000, 0.0000, 0.5000)  6 B 2.89, 12 Ni 2.90
B (0.3333, 0.6667, 0.5000)  6 Ni 2.05
B (0.6667, 0.3333, 0.5000)  6 Ni 2.05

=====

No. 9
A plane-wave DFT calculation with PBE-GGA was carried out for ErNpB after structural relaxation.

## Properties
Total magnetic moment: 4.423 Bohr magnetons per cell
DFT total energy: -0.279 hartree per atom

a b c (Å): 4.4025 4.4025 4.4025
angles (deg): 60.00 60.00 60.00
Closest atoms and distances in Å follow each position.
Fractional positions:
Np (0.7500, 0.7500, 0.7500)  4 B 2.70
Er (0.2500, 0.2500, 0.2500)  4 B 2.70
B (0.0000, 0.0000, 0.0000)  4 Er 2.70, 4 Np 2.70

=====

No. 10
A plane-wave DFT calculation with PBE-GGA was carried out for Er2B2O5 after structural relaxation.

## Properties
Total magnetic moment: 0.058 Bohr magnetons per cell
DFT total energy: -0.226 hartree per atom

a b c (Å): 8.7125 3.6382 3.6382
angles (deg): 90.00 90.00 90.00
Closest atoms and distances in Å follow each position.
Fractional positions:
Er (0.2510, 0.5000, 0.5000)  5 O 2.11-2.17
Er (0.7490, 0.5000, 0.5000)  5 O 2.11-2.17
O (0.1281, 0.5000, 0.0000)  2 Er 2.11, 2 B 2.13, 1 O 2.23
O (0.8719, 0.0000, 0.5000)  2 Er 2.11, 2 B 2.13, 1 O 2.23
O (0.8719, 0.5000, 0.0000)  2 Er 2.11, 2 B 2.13, 1 O 2.23
O (0.1281, 0.0000, 0.5000)  2 Er 2.11, 2 B 2.13, 1 O 2.23
O (0.5000, 0.5000, 0.5000)  2 Er 2.17
B (0.5000, 0.0000, 0.0000)  4 O 2.57
B (0.0000, 0.0000, 0.0000)  8 O 2.13

=====

No. 11
A plane-wave DFT calculation with PBE-GGA was carried out for Er2B2O5 after structural relaxation.

## Properties
Total magnetic moment: 0.002 Bohr magnetons per cell
DFT total energy: -0.265 hartree per atom

a b c (Å): 6.6628 3.4317 3.4317
angles (deg): 90.00 90.00 90.00
Closest atoms and distances in Å follow each position.
Fractional positions:
O (0.7611, 0.5000, 0.0000)  2 B 1.72
O (0.2389, 0.5000, 0.0000)  2 B 1.72
O (0.5000, 0.5000, 0.5000)  2 B 1.79
O (0.2389, 0.0000, 0.5000)  2 B 1.72
O (0.7611, 0.0000, 0.5000)  2 B 1.72
B (0.7680, 0.5000, 0.5000)  5 O 1.72-1.79
B (0.2320, 0.5000, 0.5000)  5 O 1.72-1.79
Er (0.0000, 0.0000, 0.0000)  8 O 2.34
Er (0.5000, 0.0000, 0.0000)  12 O 2.43-2.44

=====

No. 12
A plane-wave DFT calculation with PBE-GGA was carried out for Er2B6O after structural relaxation.

## Properties
Total magnetic moment: 0.000 Bohr magnetons per cell
DFT total energy: -0.228 hartree per atom

a b c (Å): 4.6888 4.6888 7.3767
angles (deg): 115.41 115.41 43.08
Closest atoms and distances in Å follow each position.
Fractional positions:
B (0.1817, 0.1978, 0.4346)  3 B 1.71-1.91
B (0.4858, 0.5590, 0.8891)  1 O 1.46
B (0.4050, 0.3832, 0.6335)  3 B 1.70-1.79
B (0.6168, 0.5950, 0.3665)  3 B 1.70-1.79
B (0.4410, 0.5142, 0.1109)  1 O 1.46
B (0.8022, 0.8183, 0.5654)  3 B 1.71-1.91
Er (0.7890, 0.8746, 0.2329)  8 B 2.52-2.79, 2 O 2.79-2.82
Er (0.1254, 0.2110, 0.7671)  8 B 2.52-2.79, 2 O 2.79-2.82
O (0.1350, 0.8650, 0.0000)  2 B 1.46

=====

No. 13
A plane-wave DFT calculation with PBE-GGA was carried out for Er2BO4 after structural relaxation.

## Properties
Total magnetic moment: 0.000 Bohr magnetons per cell
DFT total energy: -0.285 hartree per atom

a b c (Å): 6.0079 6.0079 6.0079
angles (deg): 120.00 90.01 120.00
Closest atoms and distances in Å follow each position.
Fractional positions:
Er (0.3750, 0.2500, 0.6250)  6 O 2.31
Er (0.3750, 0.7500, 0.6250)  6 O 2.31
Er (0.3750, 0.7500, 0.1250)  6 O 2.31
Er (0.8750, 0.2500, 0.6250)  6 O 2.31
O (0.6867, 0.7912, 0.8956)  1 B 1.54
O (0.1044, 0.7912, 0.8956)  1 B 1.54
O (0.1044, 0.2088, 0.3133)  1 B 1.54
O (0.1044, 0.2088, 0.8956)  1 B 1.54
O (0.6456, 0.2912, 0.9367)  1 B 1.54
O (0.0633, 0.7088, 0.3544)  1 B 1.54
O (0.6456, 0.7088, 0.3544)  1 B 1.54
O (0.6456, 0.2912, 0.3544)  1 B 1.54
B (0.7500, 0.5000, 0.2500)  4 O 1.54
B (0.0000, 0.0000, 0.0000)  4 O 1.54

=====

No. 14
A plane-wave DFT calculation with PBE-GGA was carried out for ErB3O6 after structural relaxation.

## Properties
Total magnetic moment: 0.000 Bohr magnetons per cell
DFT total energy: -0.300 hartree per atom

a b c (Å): 6.1825 6.1825 6.0618
angles (deg): 116.41 116.41 79.70
Closest atoms and distances in Å follow each position.
Fractional positions:
O (0.4124, 0.7886, 0.5000)  2 B 1.39-1.44
O (0.0008, 0.7897, 0.2979)  2 B 1.41-1.48
O (0.6007, 0.7940, 0.0036)  1 B 1.33
O (0.7897, 0.0008, 0.7979)  2 B 1.41-1.48
O (0.2060, 0.3993, 0.4964)  1 B 1.33
O (0.5876, 0.2114, 0.5000)  2 B 1.39-1.44
O (0.3993, 0.2060, 0.9964)  1 B 1.33
O (0.7940, 0.6007, 0.5036)  1 B 1.33
O (0.9992, 0.2103, 0.7021)  2 B 1.41-1.48
O (0.2103, 0.9992, 0.2021)  2 B 1.41-1.48
O (0.2114, 0.5876, 0.0000)  2 B 1.39-1.44
O (0.7886, 0.4124, 0.0000)  2 B 1.39-1.44
B (0.7846, 0.6615, 0.0912)  3 O 1.33-1.41
B (0.7822, 0.2178, 0.7500)  4 O 1.44-1.48
B (0.2178, 0.7822, 0.2500)  4 O 1.44-1.48
B (0.3385, 0.2154, 0.4088)  3 O 1.33-1.41
B (0.6615, 0.7846, 0.5912)  3 O 1.33-1.41
B (0.2154, 0.3385, 0.9088)  3 O 1.33-1.41
Er (0.2016, 0.7984, 0.7500)  8 O 2.26-2.49
Er (0.7984, 0.2016, 0.2500)  8 O 2.26-2.49

=====

No. 15
A plane-wave DFT calculation with PBE-GGA was carried out for ErB4Os after structural relaxation.

## Properties
Total magnetic moment: 0.589 Bohr magnetons per cell
DFT total energy: -0.266 hartree per atom

a b c (Å): 3.1855 3.1855 6.7758
angles (deg): 90.00 90.00 120.00
Closest atoms and distances in Å follow each position.
Fractional positions:
B (0.6667, 0.3333, 0.2759)  3 B 1.84
B (0.6667, 0.3333, 0.7241)  3 B 1.84
B (0.3333, 0.6667, 0.2759)  3 B 1.84
B (0.3333, 0.6667, 0.7241)  3 B 1.84
Os (0.0000, 0.0000, 0.5000)  12 B 2.38
Er (0.0000, 0.0000, 0.0000)  12 B 2.62

=====

No. 16
A plane-wave DFT calculation with PBE-GGA was carried out for ErB4Os after structural relaxation.

## Properties
Total magnetic moment: 0.019 Bohr magnetons per cell
DFT total energy: -0.267 hartree per atom

a b c (Å): 4.6894 4.6894 4.6894
angles (deg): 140.55 111.00 82.50
Closest atoms and distances in Å follow each position.
Fractional positions:
B (0.4140, 0.7477, 0.6664)  3 B 1.77-1.82
B (0.9187, 0.2523, 0.6664)  3 B 1.77-1.82
B (0.0813, 0.7477, 0.3336)  3 B 1.77-1.82
B (0.5860, 0.2523, 0.3336)  3 B 1.77-1.82
Er (0.0000, 0.0000, 0.0000)  12 B 2.51-2.52
Os (0.5000, 0.5000, 0.0000)  12 B 2.49-2.54

=====

No. 17
A plane-wave DFT calculation with PBE-GGA was carried out for ErB4Os after structural relaxation.

## Properties
Total magnetic moment: 0.002 Bohr magnetons per cell
DFT total energy: -0.282 hartree per atom

a b c (Å): 5.9388 11.4905 3.5473
angles (deg): 90.00 90.00 90.00
Closest atoms and distances in Å follow each position.
Fractional positions:
B (0.0255, 0.6920, 0.5000)  3 B 1.74-1.87
B (0.7899, 0.1860, 0.5000)  3 B 1.78-1.87
B (0.1132, 0.5470, 0.5000)  3 B 1.72-1.74
B (0.3868, 0.0470, 0.5000)  3 B 1.72-1.74
B (0.9745, 0.3080, 0.5000)  3 B 1.74-1.87
B (0.3644, 0.4699, 0.5000)  3 B 1.74-1.85
B (0.5255, 0.8080, 0.5000)  3 B 1.74-1.87
B (0.8644, 0.0301, 0.5000)  3 B 1.74-1.85
B (0.2899, 0.3140, 0.5000)  3 B 1.78-1.87
B (0.1356, 0.9699, 0.5000)  3 B 1.74-1.85
B (0.6356, 0.5301, 0.5000)  3 B 1.74-1.85
B (0.8868, 0.4530, 0.5000)  3 B 1.72-1.74
B (0.4745, 0.1920, 0.5000)  3 B 1.74-1.87
B (0.6132, 0.9530, 0.5000)  3 B 1.72-1.74
B (0.2101, 0.8140, 0.5000)  3 B 1.78-1.87
B (0.7101, 0.6860, 0.5000)  3 B 1.78-1.87
Er (0.3717, 0.6500, 0.0000)  14 B 2.63-2.76
Er (0.1283, 0.1500, 0.0000)  14 B 2.63-2.76
Er (0.6283, 0.3500, 0.0000)  14 B 2.63-2.76
Er (0.8717, 0.8500, 0.0000)  14 B 2.63-2.76
Os (0.1412, 0.4063, 0.0000)  10 B 2.25-2.41
Os (0.8588, 0.5937, 0.0000)  10 B 2.25-2.41
Os (0.3588, 0.9063, 0.0000)  10 B 2.25-2.41
Os (0.6412, 0.0937, 0.0000)  10 B 2.25-2.41

=====

No. 18
A plane-wave DFT calculation with PBE-GGA was carried out for ErPaB after structural relaxation.

## Properties
Total magnetic moment: 0.004 Bohr magnetons per cell
DFT total energy: -0.246 hartree per atom

a b c (Å): 4.4137 4.4137 4.4137
angles (deg): 60.00 60.00 60.00
Closest atoms and distances in Å follow each position.
Fractional positions:
B (0.0000, 0.0000, 0.0000)  4 Pa 2.70, 4 Er 2.70
Pa (0.7500, 0.7500, 0.7500)  4 B 2.70
Er (0.2500, 0.2500, 0.2500)  4 B 2.70

=====

No. 19
A plane-wave DFT calculation with PBE-GGA was carried out for ErBPb after structural relaxation.

## Properties
Total magnetic moment: 0.004 Bohr magnetons per cell
DFT total energy: -0.170 hartree per atom

a b c (Å): 4.4747 4.4747 4.4747
angles (deg): 60.00 60.00 60.00
Closest atoms and distances in Å follow each position.
Fractional positions:
B (0.0000, 0.0000, 0.0000)  4 Pb 2.74, 4 Er 2.74
Er (0.2500, 0.2500, 0.2500)  4 B 2.74
Pb (0.7500, 0.7500, 0.7500)  4 B 2.74

=====

No. 20
A plane-wave DFT calculation with PBE-GGA was carried out for ErBPb after structural relaxation.

## Properties
Total magnetic moment: 0.002 Bohr magnetons per cell
DFT total energy: -0.151 hartree per atom

a b c (Å): 4.7200 4.7200 4.7200
angles (deg): 60.00 60.00 60.00
Closest atoms and distances in Å follow each position.
Fractional positions:
B (0.2500, 0.2500, 0.2500)  4 Er 2.89
Er (0.0000, 0.0000, 0.0000)  4 Pb 2.89, 4 B 2.89
Pb (0.7500, 0.7500, 0.7500)  4 Er 2.89